Density functional theory data (PBE) for an optimized crystal structure of Rb2Ta2Pd.

a = 8.933 Å, b = 8.933 Å, c = 8.933 Å
α = 153.94°, β = 153.94°, γ = 37.19°
Atoms (fractional coordinates):
Rb (0.250, 0.750, 0.500)
Rb (0.750, 0.250, 0.500)
Ta (0.067, 0.067, 0.000)
Ta (0.933, 0.933, 0.000)
Pd (0.500, 0.500, 0.000)

Results
The raw total energy is -4.5392 eV per atom. Its energy above the most stable polymorph in this dataset is 0.0 meV/atom. As for the size of the total moment: 0.000 μB per cell.